VASP calculation (PBE-GGA) on V3HgW after structural relaxation.

- energy relative to the lowest polymorph listed for this composition (meV per atom) = 996
- E_form (meV per atom) = 2292

extended XYZ file:
```
5
Lattice="4.834 0.000 0.000 0.000 4.834 0.000 0.000 0.000 4.834" Properties=species:S:1:pos:R:3 pbc="T T T"
V 0.000 0.000 2.417
V 0.000 2.417 0.000
V 2.417 0.000 0.000
Hg 0.000 0.000 0.000
W 2.417 2.417 2.417
```